{"formula": "Sr12Fe3O5", "functional": "GGA+U", "state": "optimized geometry", "e_tot_ry_per_atom": -0.302, "magnetic_moment_mub_per_cell": 31.34, "lattice_angstrom": [[-8.445, 8.445, 8.445], [8.445, -8.445, 8.445], [8.445, 8.445, -8.445]], "species": ["Sr", "Sr", "Sr", "Sr", "Sr", "Sr", "Sr", "Sr", "Sr", "Sr", "Sr", "Sr", "Sr", "Sr", "Sr", "Sr", "Sr", "Sr", "Sr", "Sr", "Sr", "Sr", "Sr", "Sr", "Sr", "Sr", "Sr", "Sr", "Sr", "Sr", "Sr", "Sr", "Sr", "Sr", "Sr", "Sr", "Sr", "Sr", "Sr", "Sr", "Sr", "Sr", "Sr", "Sr", "Sr", "Sr", "Sr", "Sr", "Fe", "Fe", "Fe", "Fe", "Fe", "Fe", "Fe", "Fe", "Fe", "Fe", "Fe", "Fe", "O", "O", "O", "O", "O", "O", "O", "O", "O", "O", "O", "O", "O", "O", "O", "O", "O", "O", "O", "O"], "fractional_positions": [[0.011, 0.196, 0.115], [0.011, 0.315, 0.896], [0.081, 0.696, 0.685], [0.081, 0.885, 0.396], [0.104, 0.615, 0.419], [0.104, 0.989, 0.685], [0.115, 0.011, 0.196], [0.115, 0.604, 0.919], [0.185, 0.196, 0.581], [0.185, 0.489, 0.604], [0.196, 0.115, 0.011], [0.196, 0.581, 0.185], [0.304, 0.315, 0.919], [0.304, 0.489, 0.385], [0.315, 0.896, 0.011], [0.315, 0.919, 0.304], [0.385, 0.304, 0.489], [0.385, 0.581, 0.896], [0.396, 0.081, 0.885], [0.396, 0.815, 0.511], [0.419, 0.104, 0.615], [0.419, 0.815, 0.804], [0.489, 0.385, 0.304], [0.489, 0.604, 0.185], [0.511, 0.396, 0.815], [0.511, 0.615, 0.696], [0.581, 0.185, 0.196], [0.581, 0.896, 0.385], [0.604, 0.185, 0.489], [0.604, 0.919, 0.115], [0.615, 0.419, 0.104], [0.615, 0.696, 0.511], [0.685, 0.081, 0.696], [0.685, 0.104, 0.989], [0.696, 0.511, 0.615], [0.696, 0.685, 0.081], [0.804, 0.419, 0.815], [0.804, 0.885, 0.989], [0.815, 0.511, 0.396], [0.815, 0.804, 0.419], [0.885, 0.396, 0.081], [0.885, 0.989, 0.804], [0.896, 0.011, 0.315], [0.896, 0.385, 0.581], [0.919, 0.115, 0.604], [0.919, 0.304, 0.315], [0.989, 0.685, 0.104], [0.989, 0.804, 0.885], [0.125, 0.250, 0.375], [0.125, 0.375, 0.750], [0.250, 0.375, 0.125], [0.250, 0.875, 0.625], [0.375, 0.125, 0.250], [0.375, 0.750, 0.125], [0.625, 0.250, 0.875], [0.625, 0.875, 0.750], [0.750, 0.125, 0.375], [0.750, 0.625, 0.875], [0.875, 0.625, 0.250], [0.875, 0.750, 0.625], [0.000, 0.000, 0.000], [0.000, 0.000, 0.500], [0.000, 0.500, 0.000], [0.000, 0.500, 0.500], [0.125, 0.750, 0.875], [0.125, 0.875, 0.250], [0.250, 0.125, 0.875], [0.250, 0.625, 0.375], [0.375, 0.250, 0.625], [0.375, 0.625, 0.750], [0.500, 0.000, 0.000], [0.500, 0.000, 0.500], [0.500, 0.500, 0.000], [0.500, 0.500, 0.500], [0.625, 0.375, 0.250], [0.625, 0.750, 0.375], [0.750, 0.375, 0.625], [0.750, 0.875, 0.125], [0.875, 0.125, 0.750], [0.875, 0.250, 0.125]]}